# 1
This record from Alexandria describes crystalline Pr6Sm16Dy7 at its relaxed geometry. The functional is GGA-PBE.

Computed properties:
Space-group type = Fm-3m
Energy relative to the elements = 212 meV per atom
Magnetization = 0.0 Bohr magnetons per cell

POSCAR file:
```
Pr6Sm16Dy7
1.0
0.000 8.009 8.009
8.009 0.000 8.009
8.009 8.009 0.000
Pr Sm Dy
6 16 7
Cartesian
8.009 8.009 3.639
8.009 3.639 8.009
12.378 8.009 8.009
3.639 8.009 8.009
8.009 12.378 8.009
8.009 8.009 12.378
10.029 5.988 5.988
2.428 2.428 2.428
5.581 5.581 2.428
5.581 2.428 5.581
5.988 5.988 5.988
10.029 10.029 5.988
10.029 5.988 10.029
13.590 10.436 10.436
2.428 5.581 5.581
5.988 10.029 5.988
5.988 5.988 10.029
10.029 10.029 10.029
10.436 13.590 10.436
10.436 10.436 13.590
13.590 13.590 13.590
5.988 10.029 10.029
4.004 4.004 0.000
4.004 0.000 4.004
8.009 4.004 4.004
0.000 4.004 4.004
4.004 8.009 4.004
4.004 4.004 8.009
8.009 8.009 8.009
```

***

# 2
This record from Alexandria describes crystalline PrDyPaN3 at its relaxed geometry. The functional is GGA-PBE.

Computed properties:
Space-group type = P2_1/m
Uncorrected formation energy = -1.4571 eV/atom
Magnetization = 0.0 Bohr magnetons per cell

POSCAR file:
```
PrDyPaN3
1.0
6.063 0.000 0.000
0.000 3.543 0.000
-1.950 0.000 8.961
Pr Dy Pa N
2 2 2 6
Cartesian
0.566 0.886 1.696
3.548 2.657 7.265
0.479 0.886 7.732
3.635 2.657 1.229
0.543 2.657 4.887
3.570 0.886 4.073
-0.962 0.886 5.764
1.546 2.657 0.044
2.122 2.657 3.246
1.992 0.886 5.715
2.568 0.886 8.917
5.076 2.657 3.197
```

***

# 3
This record from Alexandria describes crystalline NaHo3 at its relaxed geometry. The functional is GGA-PBE.

Computed properties:
Space-group type = I4/mmm
Energy relative to the elements = 309 meV per atom
Energy relative to the lowest polymorph listed for this composition = 0.00 kcal/mol of atoms
Magnetization = 0.0 Bohr magnetons per cell

POSCAR file:
```
NaHo3
1.0
-2.439 2.439 5.264
2.439 -2.439 5.264
2.439 2.439 -5.264
Na Ho
1 3
Cartesian
0.000 0.000 0.000
2.439 0.000 2.632
0.000 0.000 5.264
0.000 2.439 2.632
```